No. 1
Below is a relaxed CuNiMo4C2 crystal, with properties calculated at the GGA-PBE level.

Its uncorrected energy is -70.11 eV per formula unit.

It has space group P-6m2 (No. 187), with a = 3.0485 Å, b = 3.0485 Å, c = 12.7246 Å, α = 90.00°, β = 90.00° and γ = 120.00°. The distinct sites, in fractional coordinates, are Cu at (0.0000, 0.0000, 0.0000), Ni at (0.3333, 0.6667, 0.5000), Mo at (0.0000, 0.0000, 0.3444), Mo at (0.3333, 0.6667, 0.1638) and C at (0.6667, 0.3333, 0.2526).

***

No. 2
Below is a relaxed CuMo4PC2 crystal, with properties calculated at the GGA-PBE level.

Its uncorrected energy is -71.09 eV per formula unit.

It has space group P-6m2 (No. 187), with a = 3.1516 Å, b = 3.1516 Å, c = 12.0221 Å, α = 90.00°, β = 90.00° and γ = 120.00°. The distinct sites, in fractional coordinates, are Cu at (0.0000, 0.0000, 0.0000), Mo at (0.0000, 0.0000, 0.3560), Mo at (0.6667, 0.3333, 0.1692), P at (0.6667, 0.3333, 0.5000) and C at (0.3333, 0.6667, 0.2523).